(1)
First-principles (PBE-GGA) data for YGaSb2 after structural relaxation, as listed in Alexandria.

Cell and atoms, written as CIF:
```
data_YGaSb2
_chemical_formula_sum 'Y4 Ga4 Sb8'
_cell_length_a 7.510
_cell_length_b 7.510
_cell_length_c 7.510
_cell_angle_alpha 90.00
_cell_angle_beta 90.00
_cell_angle_gamma 90.00
_symmetry_space_group_name_H-M 'P 1'
_symmetry_Int_Tables_number 1
_symmetry_space_group_name_Hall 'P 1'
loop_
_atom_site_label
_atom_site_type_symbol
_atom_site_fract_x
_atom_site_fract_y
_atom_site_fract_z
Y1 Y 0.000 0.000 0.000
Y2 Y 0.000 0.500 0.500
Y3 Y 0.500 0.000 0.500
Y4 Y 0.500 0.500 0.000
Ga1 Ga 0.000 0.000 0.500
Ga2 Ga 0.000 0.500 0.000
Ga3 Ga 0.500 0.000 0.000
Ga4 Ga 0.500 0.500 0.500
Sb1 Sb 0.250 0.250 0.250
Sb2 Sb 0.250 0.250 0.750
Sb3 Sb 0.250 0.750 0.250
Sb4 Sb 0.250 0.750 0.750
Sb5 Sb 0.750 0.250 0.250
Sb6 Sb 0.750 0.250 0.750
Sb7 Sb 0.750 0.750 0.250
Sb8 Sb 0.750 0.750 0.750
```

## Properties
The uncorrected formation energy is -297 meV/atom. Its relative energy among the computed polymorphs is 159.1 meV per atom. For the total energy, the calculation gives -4.731 eV per atom.


(2)
First-principles (PBE-GGA) data for HoTm2Ag3Te6 after structural relaxation, as listed in Alexandria.

Cell and atoms, written as CIF:
```
data_HoTm2Ag3Te6
_chemical_formula_sum 'Ho1 Tm2 Ag3 Te6'
_cell_length_a 9.687
_cell_length_b 9.687
_cell_length_c 8.642
_cell_angle_alpha 101.99
_cell_angle_beta 101.99
_cell_angle_gamma 26.08
_symmetry_space_group_name_H-M 'P 1'
_symmetry_Int_Tables_number 1
_symmetry_space_group_name_Hall 'P 1'
loop_
_atom_site_label
_atom_site_type_symbol
_atom_site_fract_x
_atom_site_fract_y
_atom_site_fract_z
Ho1 Ho 0.000 0.000 0.000
Tm1 Tm 0.333 0.333 0.664
Tm2 Tm 0.667 0.667 0.336
Ag1 Ag 0.000 0.000 0.500
Ag2 Ag 0.335 0.335 0.161
Ag3 Ag 0.665 0.665 0.839
Te1 Te 0.167 0.167 0.586
Te2 Te 0.168 0.168 0.086
Te3 Te 0.500 0.500 0.253
Te4 Te 0.500 0.500 0.747
Te5 Te 0.832 0.832 0.914
Te6 Te 0.833 0.833 0.414
```

## Properties
The uncorrected formation energy is -814 meV/atom. For the total energy, the calculation gives -4.225 eV per atom.


(3)
First-principles (PBE-GGA) data for Li3Ce3USe8 after structural relaxation, as listed in Alexandria.

Cell and atoms, written as CIF:
```
data_Li3Ce3USe8
_chemical_formula_sum 'Li3 Ce3 U1 Se8'
_cell_length_a 8.077
_cell_length_b 8.077
_cell_length_c 8.077
_cell_angle_alpha 62.93
_cell_angle_beta 62.93
_cell_angle_gamma 62.93
_symmetry_space_group_name_H-M 'P 1'
_symmetry_Int_Tables_number 1
_symmetry_space_group_name_Hall 'P 1'
loop_
_atom_site_label
_atom_site_type_symbol
_atom_site_fract_x
_atom_site_fract_y
_atom_site_fract_z
Li1 Li 0.000 0.500 0.500
Li2 Li 0.500 0.000 0.500
Li3 Li 0.500 0.500 0.000
Ce1 Ce 0.000 0.000 0.500
Ce2 Ce 0.000 0.500 0.000
Ce3 Ce 0.500 0.000 0.000
U1 U 0.500 0.500 0.500
Se1 Se 0.253 0.253 0.253
Se2 Se 0.255 0.255 0.739
Se3 Se 0.255 0.739 0.255
Se4 Se 0.261 0.745 0.745
Se5 Se 0.739 0.255 0.255
Se6 Se 0.745 0.261 0.745
Se7 Se 0.745 0.745 0.261
Se8 Se 0.747 0.747 0.747
```

## Properties
The uncorrected formation energy is -1507 meV/atom. For the total energy, the calculation gives -5.688 eV per atom.


(4)
First-principles (PBE-GGA) data for ScMn2Fe3 after structural relaxation, as listed in Alexandria.

Cell and atoms, written as CIF:
```
data_ScMn2Fe3
_chemical_formula_sum 'Sc1 Mn2 Fe3'
_cell_length_a 4.809
_cell_length_b 4.809
_cell_length_c 3.947
_cell_angle_alpha 90.00
_cell_angle_beta 90.00
_cell_angle_gamma 120.00
_symmetry_space_group_name_H-M 'P 1'
_symmetry_Int_Tables_number 1
_symmetry_space_group_name_Hall 'P 1'
loop_
_atom_site_label
_atom_site_type_symbol
_atom_site_fract_x
_atom_site_fract_y
_atom_site_fract_z
Sc1 Sc 0.000 0.000 0.000
Mn1 Mn 0.333 0.667 0.000
Mn2 Mn 0.667 0.333 0.000
Fe1 Fe 0.000 0.500 0.500
Fe2 Fe 0.500 0.000 0.500
Fe3 Fe 0.500 0.500 0.500
```

## Properties
For the total energy, the calculation gives -8.295 eV per atom.


(5)
First-principles (PBE-GGA) data for Sm2PuScSb4 after structural relaxation, as listed in Alexandria.

Cell and atoms, written as CIF:
```
data_Sm2PuScSb4
_chemical_formula_sum 'Sm2 Pu1 Sc1 Sb4'
_cell_length_a 7.579
_cell_length_b 4.398
_cell_length_c 7.591
_cell_angle_alpha 90.00
_cell_angle_beta 109.47
_cell_angle_gamma 90.00
_symmetry_space_group_name_H-M 'P 1'
_symmetry_Int_Tables_number 1
_symmetry_space_group_name_Hall 'P 1'
loop_
_atom_site_label
_atom_site_type_symbol
_atom_site_fract_x
_atom_site_fract_y
_atom_site_fract_z
Sm1 Sm 0.000 0.000 0.000
Sm2 Sm 0.500 0.500 0.000
Pu1 Pu 0.000 0.500 0.500
Sc1 Sc 0.500 0.000 0.500
Sb1 Sb 0.254 0.000 0.740
Sb2 Sb 0.262 0.500 0.265
Sb3 Sb 0.738 0.500 0.735
Sb4 Sb 0.746 0.000 0.260
```

## Properties
The uncorrected formation energy is -948 meV/atom. For the total energy, the calculation gives -6.772 eV per atom.


(6)
First-principles (PBE-GGA) data for RbCaYBr6 after structural relaxation, as listed in Alexandria.

Cell and atoms, written as CIF:
```
data_RbCaYBr6
_chemical_formula_sum 'Rb2 Ca2 Y2 Br12'
_cell_length_a 7.490
_cell_length_b 7.490
_cell_length_c 15.050
_cell_angle_alpha 90.00
_cell_angle_beta 90.00
_cell_angle_gamma 120.00
_symmetry_space_group_name_H-M 'P 1'
_symmetry_Int_Tables_number 1
_symmetry_space_group_name_Hall 'P 1'
loop_
_atom_site_label
_atom_site_type_symbol
_atom_site_fract_x
_atom_site_fract_y
_atom_site_fract_z
Rb1 Rb 0.000 0.000 0.000
Rb2 Rb 0.000 0.000 0.500
Ca1 Ca 0.333 0.667 0.250
Ca2 Ca 0.667 0.333 0.750
Y1 Y 0.333 0.667 0.750
Y2 Y 0.667 0.333 0.250
Br1 Br 0.010 0.379 0.641
Br2 Br 0.010 0.631 0.859
Br3 Br 0.369 0.379 0.859
Br4 Br 0.369 0.990 0.641
Br5 Br 0.379 0.010 0.141
Br6 Br 0.379 0.369 0.359
Br7 Br 0.621 0.631 0.641
Br8 Br 0.621 0.990 0.859
Br9 Br 0.631 0.010 0.359
Br10 Br 0.631 0.621 0.141
Br11 Br 0.990 0.369 0.141
Br12 Br 0.990 0.621 0.359
```

## Properties
The uncorrected formation energy is -1938 meV/atom. For the total energy, the calculation gives -4.101 eV per atom.


(7)
First-principles (PBE-GGA) data for V8FeMo6 after structural relaxation, as listed in Alexandria.

Cell and atoms, written as CIF:
```
data_V8FeMo6
_chemical_formula_sum 'V8 Fe1 Mo6'
_cell_length_a 6.586
_cell_length_b 6.586
_cell_length_c 6.586
_cell_angle_alpha 63.42
_cell_angle_beta 63.42
_cell_angle_gamma 63.42
_symmetry_space_group_name_H-M 'P 1'
_symmetry_Int_Tables_number 1
_symmetry_space_group_name_Hall 'P 1'
loop_
_atom_site_label
_atom_site_type_symbol
_atom_site_fract_x
_atom_site_fract_y
_atom_site_fract_z
V1 V 0.074 0.074 0.074
V2 V 0.160 0.328 0.630
V3 V 0.328 0.630 0.160
V4 V 0.370 0.840 0.672
V5 V 0.630 0.160 0.328
V6 V 0.672 0.370 0.840
V7 V 0.840 0.672 0.370
V8 V 0.926 0.926 0.926
Fe1 Fe 0.500 0.500 0.500
Mo1 Mo 0.038 0.776 0.553
Mo2 Mo 0.224 0.447 0.962
Mo3 Mo 0.447 0.962 0.224
Mo4 Mo 0.553 0.038 0.776
Mo5 Mo 0.776 0.553 0.038
Mo6 Mo 0.962 0.224 0.447
```

## Properties
For the total energy, the calculation gives -9.670 eV per atom.


(8)
First-principles (PBE-GGA) data for La5PmPr2Ho after structural relaxation, as listed in Alexandria.

Cell and atoms, written as CIF:
```
data_La5PmPr2Ho
_chemical_formula_sum 'La10 Pm2 Pr4 Ho2'
_cell_length_a 10.226
_cell_length_b 10.226
_cell_length_c 10.226
_cell_angle_alpha 127.57
_cell_angle_beta 127.57
_cell_angle_gamma 77.32
_symmetry_space_group_name_H-M 'P 1'
_symmetry_Int_Tables_number 1
_symmetry_space_group_name_Hall 'P 1'
loop_
_atom_site_label
_atom_site_type_symbol
_atom_site_fract_x
_atom_site_fract_y
_atom_site_fract_z
La1 La 0.000 0.000 0.000
La2 La 0.070 0.570 0.923
La3 La 0.147 0.070 0.500
La4 La 0.353 0.853 0.923
La5 La 0.430 0.353 0.500
La6 La 0.500 0.500 0.000
La7 La 0.570 0.647 0.500
La8 La 0.647 0.147 0.077
La9 La 0.853 0.930 0.500
La10 La 0.930 0.430 0.077
Pm1 Pm 0.250 0.250 0.000
Pm2 Pm 0.750 0.750 0.000
Pr1 Pr 0.117 0.383 0.500
Pr2 Pr 0.383 0.883 0.266
Pr3 Pr 0.617 0.117 0.734
Pr4 Pr 0.883 0.617 0.500
Ho1 Ho 0.250 0.750 0.500
Ho2 Ho 0.750 0.250 0.500
```

## Properties
For the total energy, the calculation gives -4.577 eV per atom.


(9)
First-principles (PBE-GGA) data for BaIr3N after structural relaxation, as listed in Alexandria.

Cell and atoms, written as CIF:
```
data_BaIr3N
_chemical_formula_sum 'Ba1 Ir3 N1'
_cell_length_a 4.373
_cell_length_b 4.373
_cell_length_c 4.373
_cell_angle_alpha 90.00
_cell_angle_beta 90.00
_cell_angle_gamma 90.00
_symmetry_space_group_name_H-M 'P 1'
_symmetry_Int_Tables_number 1
_symmetry_space_group_name_Hall 'P 1'
loop_
_atom_site_label
_atom_site_type_symbol
_atom_site_fract_x
_atom_site_fract_y
_atom_site_fract_z
Ba1 Ba 0.000 0.000 0.000
Ir1 Ir 0.000 0.500 0.500
Ir2 Ir 0.500 0.000 0.500
Ir3 Ir 0.500 0.500 0.000
N1 N 0.500 0.500 0.500
```

## Properties
The uncorrected formation energy is 776 meV/atom. Its relative energy among the computed polymorphs is 0.0 meV per atom. For the total energy, the calculation gives -6.590 eV per atom.


(10)
First-principles (PBE-GGA) data for HoZn2Pd after structural relaxation, as listed in Alexandria.

Cell and atoms, written as CIF:
```
data_HoZn2Pd
_chemical_formula_sum 'Ho1 Zn2 Pd1'
_cell_length_a 4.002
_cell_length_b 4.002
_cell_length_c 4.655
_cell_angle_alpha 90.00
_cell_angle_beta 90.00
_cell_angle_gamma 90.00
_symmetry_space_group_name_H-M 'P 1'
_symmetry_Int_Tables_number 1
_symmetry_space_group_name_Hall 'P 1'
loop_
_atom_site_label
_atom_site_type_symbol
_atom_site_fract_x
_atom_site_fract_y
_atom_site_fract_z
Ho1 Ho 0.000 0.000 0.000
Zn1 Zn 0.000 0.500 0.500
Zn2 Zn 0.500 0.000 0.500
Pd1 Pd 0.500 0.500 0.000
```

## Properties
For the total energy, the calculation gives -3.493 eV per atom.


(11)
First-principles (PBE-GGA) data for NaAc2DyTe5 after structural relaxation, as listed in Alexandria.

Cell and atoms, written as CIF:
```
data_NaAc2DyTe5
_chemical_formula_sum 'Na2 Ac4 Dy2 Te10'
_cell_length_a 9.861
_cell_length_b 9.861
_cell_length_c 14.066
_cell_angle_alpha 90.00
_cell_angle_beta 90.00
_cell_angle_gamma 152.89
_symmetry_space_group_name_H-M 'P 1'
_symmetry_Int_Tables_number 1
_symmetry_space_group_name_Hall 'P 1'
loop_
_atom_site_label
_atom_site_type_symbol
_atom_site_fract_x
_atom_site_fract_y
_atom_site_fract_z
Na1 Na 0.034 0.966 0.500
Na2 Na 0.966 0.034 0.000
Ac1 Ac 0.366 0.634 0.334
Ac2 Ac 0.397 0.603 0.718
Ac3 Ac 0.603 0.397 0.218
Ac4 Ac 0.634 0.366 0.834
Dy1 Dy 0.299 0.701 0.043
Dy2 Dy 0.701 0.299 0.543
Te1 Te 0.007 0.993 0.805
Te2 Te 0.137 0.863 0.031
Te3 Te 0.189 0.811 0.389
Te4 Te 0.221 0.779 0.693
Te5 Te 0.442 0.558 0.115
Te6 Te 0.558 0.442 0.615
Te7 Te 0.779 0.221 0.193
Te8 Te 0.811 0.189 0.889
Te9 Te 0.863 0.137 0.531
Te10 Te 0.993 0.007 0.305
```

## Properties
The uncorrected formation energy is -1384 meV/atom. For the total energy, the calculation gives -4.701 eV per atom.


(12)
First-principles (PBE-GGA) data for Nd12RuRh6 after structural relaxation, as listed in Alexandria.

Cell and atoms, written as CIF:
```
data_Nd12RuRh6
_chemical_formula_sum 'Nd12 Ru1 Rh6'
_cell_length_a 8.359
_cell_length_b 8.359
_cell_length_c 8.359
_cell_angle_alpha 99.35
_cell_angle_beta 99.35
_cell_angle_gamma 99.35
_symmetry_space_group_name_H-M 'P 1'
_symmetry_Int_Tables_number 1
_symmetry_space_group_name_Hall 'P 1'
loop_
_atom_site_label
_atom_site_type_symbol
_atom_site_fract_x
_atom_site_fract_y
_atom_site_fract_z
Nd1 Nd 0.044 0.918 0.678
Nd2 Nd 0.082 0.322 0.956
Nd3 Nd 0.177 0.582 0.416
Nd4 Nd 0.322 0.956 0.082
Nd5 Nd 0.416 0.177 0.582
Nd6 Nd 0.418 0.584 0.823
Nd7 Nd 0.582 0.416 0.177
Nd8 Nd 0.584 0.823 0.418
Nd9 Nd 0.678 0.044 0.918
Nd10 Nd 0.823 0.418 0.584
Nd11 Nd 0.918 0.678 0.044
Nd12 Nd 0.956 0.082 0.322
Ru1 Ru 0.000 0.000 0.000
Rh1 Rh 0.135 0.313 0.619
Rh2 Rh 0.313 0.619 0.135
Rh3 Rh 0.381 0.865 0.687
Rh4 Rh 0.619 0.135 0.313
Rh5 Rh 0.687 0.381 0.865
Rh6 Rh 0.865 0.687 0.381
```

## Properties
For the total energy, the calculation gives -6.288 eV per atom.